The following is a PBE calculation of crystalline Dy6Er2Th at its relaxed geometry, from Alexandria via LeMat-Bulk.

Geometry as POSCAR:
```
Dy6Er2Th
1.0
-2.029 0.914 2.776
-1.257 0.340 -3.311
-9.479 -24.358 1.094
Dy Er Th
6 2 1
Direct
0.333 0.667 0.889
0.000 0.000 0.434
0.000 0.000 0.780
0.000 0.000 0.220
0.000 0.000 0.566
0.333 0.667 0.111
0.333 0.667 0.329
0.333 0.667 0.671
0.000 0.000 0.000
```

Results
* energy relative to the lowest polymorph listed for this composition: 0.000 eV/atom
* crystal system: hexagonal
* energy: -0.35639 Ry/atom